(1)
DFT (PBE) results for an optimized crystal structure of Ac3TlCo.

Calculated values
space group = Pm-3m, No. 221
energy relative to the elements = -0.162 eV per atom
Fermi-level density of states = 4.65 states/eV per cell

Lattice parameters (Å, degrees): 5.556 5.556 5.556 90.00 90.00 90.00
Positions (direct):
Ac: 0.000 0.000 0.500
Ac: 0.000 0.500 0.000
Ac: 0.500 0.000 0.000
Tl: 0.500 0.500 0.500
Co: 0.000 0.000 0.000

(2)
DFT (PBE) results for an optimized crystal structure of Ac4TlCo2.

Calculated values
space group = Cmcm, No. 63
energy relative to the elements = -0.074 eV per atom
Fermi-level density of states = 11.83 states/eV per cell

Lattice parameters (Å, degrees): 7.598 7.598 14.555 90.00 90.00 147.67
Positions (direct):
Ac: 0.000 0.000 0.000
Ac: 0.000 0.000 0.500
Ac: 0.265 0.735 0.608
Ac: 0.265 0.735 0.892
Ac: 0.422 0.578 0.250
Ac: 0.578 0.422 0.750
Ac: 0.735 0.265 0.108
Ac: 0.735 0.265 0.392
Tl: 0.107 0.893 0.250
Tl: 0.893 0.107 0.750
Co: 0.369 0.631 0.063
Co: 0.369 0.631 0.437
Co: 0.631 0.369 0.563
Co: 0.631 0.369 0.937

(3)
DFT (PBE) results for an optimized crystal structure of Ac4Tl2Co.

Calculated values
space group = P2_1/m, No. 11
energy relative to the elements = -0.183 eV per atom
Fermi-level density of states = 12.92 states/eV per cell

Lattice parameters (Å, degrees): 6.724 7.409 10.160 90.00 103.07 90.00
Positions (direct):
Ac: 0.200 0.250 0.100
Ac: 0.274 0.503 0.751
Ac: 0.274 0.997 0.751
Ac: 0.299 0.750 0.405
Ac: 0.701 0.250 0.595
Ac: 0.726 0.003 0.249
Ac: 0.726 0.497 0.249
Ac: 0.800 0.750 0.900
Tl: 0.146 0.250 0.448
Tl: 0.318 0.750 0.057
Tl: 0.682 0.250 0.943
Tl: 0.854 0.750 0.552
Co: 0.469 0.250 0.339
Co: 0.531 0.750 0.661

Q: The lowest Fermi-level density of states belongs to which entry?
A: Ac3TlCo

Q: Which formula does entry 2 have?
A: Ac4TlCo2